[1]
VCuNi | the Alexandria database | PBE | optimized geometry; energy above the most stable polymorph in this dataset = 0 meV per atom; calculated volume = 35.8 Å³ per cell; formation energy = -0.027 eV/atom; density of states at the Fermi level = 2.91 states/eV/f.u.; DFT total energy = -6.359 eV/atom
1.0
-2.210 -1.067 0.233
1.604 -2.762 2.567
-1.537 3.505 1.462
V Cu Ni
1 1 1
Direct
0.997 0.000 0.000 V
0.489 0.667 0.333 Cu
0.514 0.333 0.667 Ni

---

[2]
LiZrAs | the Alexandria database | PBE | optimized geometry; energy above the most stable polymorph in this dataset = 487 meV per atom; calculated volume = 52.4 Å³ per cell; formation energy = -0.411 eV/atom; density of states at the Fermi level = 0.95 states/eV/f.u.; DFT total energy = -5.449 eV/atom
1.0
5.369 0.007 0.002
3.292 4.241 -0.002
-4.106 -2.581 2.303
Li Zr As
1 1 1
Direct
0.361 0.361 0.000 Li
0.661 0.661 0.000 Zr
0.979 0.979 0.000 As

---

[3]
AcTbPm3Dy | the Alexandria database | PBE | optimized geometry; calculated volume = 421.5 Å³ per cell; formation energy = 0.038 eV/atom; density of states at the Fermi level = 9.65 states/eV/f.u.; DFT total energy = -4.561 eV/atom
1.0
-3.766 3.547 0.583
-5.351 -5.975 1.781
5.448 4.390 8.494
Pm Dy Ac Tb
6 2 2 2
Direct
0.750 0.380 0.206 Pm
0.250 0.625 0.453 Pm
0.250 0.133 0.960 Pm
0.250 0.620 0.794 Pm
0.750 0.375 0.547 Pm
0.750 0.867 0.040 Pm
0.250 0.131 0.628 Dy
0.750 0.869 0.372 Dy
0.750 0.878 0.708 Ac
0.250 0.122 0.292 Ac
0.250 0.619 0.123 Tb
0.750 0.381 0.877 Tb

---

[4]
HfIrOs | the Alexandria database | PBE | optimized geometry; calculated volume = 104.3 Å³ per cell; formation energy = -0.334 eV/atom; density of states at the Fermi level = 2.52 states/eV/f.u.; DFT total energy = -10.348 eV/atom
1.0
-3.676 1.578 -0.326
-1.520 -3.127 2.006
3.460 3.937 4.742
Ir Os Hf
2 2 2
Direct
0.864 0.864 0.728 Ir
0.136 0.136 0.272 Ir
0.500 0.000 0.000 Os
0.000 0.500 0.000 Os
0.661 0.661 0.322 Hf
0.339 0.339 0.678 Hf

---

[5]
Ca3AcY2Te6 | the Alexandria database | PBE | optimized geometry; uncorrected formation energy = -1483 meV per atom; calculated volume = 386.5 Å³ per cell; density of states at the Fermi level = 5.20 states/eV/f.u.; DFT total energy = -4.974 eV/atom
1.0
7.749 0.002 -0.004
-3.871 6.713 -0.004
-1.297 -2.246 7.431
Ca Te Y Ac
3 6 2 1
Direct
0.840 0.160 0.500 Ca
0.160 0.840 0.500 Ca
0.500 0.500 0.500 Ca
0.734 0.734 0.250 Te
0.085 0.434 0.254 Te
0.566 0.915 0.746 Te
0.266 0.266 0.750 Te
0.434 0.085 0.254 Te
0.915 0.566 0.746 Te
0.332 0.668 0.000 Y
0.668 0.332 0.000 Y
0.000 0.000 0.000 Ac

---

[6]
Li3InPd6 | the Alexandria database | PBE | optimized geometry; energy above the most stable polymorph in this dataset = 0 meV per atom; calculated volume = 297.2 Å³ per cell; formation energy = -0.410 eV/atom; density of states at the Fermi level = 2.50 states/eV/f.u.; DFT total energy = -4.374 eV/atom
1.0
4.351 0.000 0.000
0.000 7.294 -2.138
0.000 0.285 9.280
Li Pd In
6 12 2
Direct
0.250 0.753 0.986 Li
0.250 0.539 0.401 Li
0.750 0.651 0.181 Li
0.250 0.349 0.819 Li
0.750 0.461 0.599 Li
0.750 0.247 0.014 Li
0.750 0.170 0.709 Pd
0.250 0.618 0.699 Pd
0.250 0.158 0.210 Pd
0.750 0.743 0.478 Pd
0.250 0.462 0.104 Pd
0.750 0.382 0.301 Pd
0.250 0.062 0.913 Pd
0.250 0.830 0.291 Pd
0.250 0.257 0.522 Pd
0.750 0.842 0.790 Pd
0.750 0.938 0.087 Pd
0.750 0.538 0.896 Pd
0.750 0.065 0.385 In
0.250 0.935 0.615 In

---

[7]
AlFeHg2 | the Alexandria database | PBE | optimized geometry; calculated volume = 74.9 Å³ per cell; formation energy = 0.357 eV/atom; density of states at the Fermi level = 3.44 states/eV/f.u.; DFT total energy = -2.846 eV/atom
1.0
-6.195 2.268 6.550
-5.577 -0.621 7.411
-3.757 1.683 8.335
Hg Fe Al
2 1 1
Direct
0.496 0.496 0.496 Hg
0.004 0.004 0.004 Hg
0.750 0.750 0.750 Fe
0.250 0.250 0.250 Al

---

[8]
Ba2CdH2 | the Alexandria database | PBE | optimized geometry; energy above the most stable polymorph in this dataset = 201 meV per atom; calculated volume = 248.8 Å³ per cell; density of states at the Fermi level = 2.17 states/eV/f.u.; DFT total energy = -2.481 eV/atom
1.0
-6.381 -1.137 5.000
-3.432 -4.983 -5.514
1.728 -2.900 1.545
H Ba Cd
4 4 2
Direct
0.876 0.624 0.000 H
0.624 0.124 0.000 H
0.124 0.376 0.000 H
0.376 0.876 0.000 H
0.823 0.323 0.500 Ba
0.177 0.677 0.500 Ba
0.677 0.823 0.500 Ba
0.323 0.177 0.500 Ba
0.000 0.000 0.000 Cd
0.500 0.500 0.000 Cd

---

[9]
K4CdIn | the Alexandria database | PBE | optimized geometry; calculated volume = 287.0 Å³ per cell; formation energy = 0.268 eV/atom; density of states at the Fermi level = 6.28 states/eV/f.u.; DFT total energy = -1.073 eV/atom
1.0
3.975 0.821 6.193
-0.252 6.384 3.742
-3.402 0.310 6.569
K Cd In
4 1 1
Direct
0.876 0.375 0.375 K
0.375 0.876 0.375 K
0.375 0.375 0.375 K
0.375 0.375 0.876 K
0.750 0.750 0.750 Cd
0.000 0.000 0.000 In

---

[10]
PrAl12Pd6 | the Alexandria database | PBE | optimized geometry; calculated volume = 328.6 Å³ per cell; formation energy = -0.622 eV/atom; density of states at the Fermi level = 6.77 states/eV/f.u.; DFT total energy = -4.877 eV/atom
1.0
7.190 -0.007 -0.010
-1.789 6.964 -0.010
-1.789 -2.305 6.571
Al Pd Pr
12 6 1
Direct
0.114 0.886 0.500 Al
0.403 0.150 0.403 Al
0.597 0.597 0.850 Al
0.150 0.403 0.403 Al
0.886 0.114 0.500 Al
0.114 0.500 0.886 Al
0.886 0.500 0.114 Al
0.500 0.886 0.114 Al
0.850 0.597 0.597 Al
0.597 0.850 0.597 Al
0.500 0.114 0.886 Al
0.403 0.403 0.150 Al
0.290 0.721 0.721 Pd
0.279 0.710 0.279 Pd
0.710 0.279 0.279 Pd
0.721 0.290 0.721 Pd
0.279 0.279 0.710 Pd
0.721 0.721 0.290 Pd
0.000 0.000 0.000 Pr

---

[11]
KGaSn | the Alexandria database | PBE | optimized geometry; calculated volume = 191.6 Å³ per cell; formation energy = -0.183 eV/atom; density of states at the Fermi level = 0.26 states/eV/f.u.; DFT total energy = -2.892 eV/atom
1.0
-3.653 -1.333 2.475
5.221 -0.122 3.836
-0.209 7.198 -0.448
Sn K Ga
2 2 2
Direct
0.866 0.122 0.753 Sn
0.361 0.928 0.933 Sn
0.703 0.525 0.069 K
0.159 0.113 0.366 K
0.466 0.694 0.561 Ga
0.936 0.541 0.636 Ga

---

[12]
MgTe2NO | the Alexandria database | PBE | optimized geometry; uncorrected formation energy = 788 meV per atom; energy above the most stable polymorph in this dataset = 0 meV per atom; calculated volume = 93.2 Å³ per cell; density of states at the Fermi level = 3.03 states/eV/f.u.; DFT total energy = -3.444 eV/atom
1.0
-0.720 2.591 -3.895
1.304 -3.673 -2.685
-3.947 -1.302 -0.136
O Mg N Te
1 1 1 2
Direct
0.000 0.000 0.000 O
0.500 0.500 0.500 Mg
0.000 0.000 0.500 N
0.500 0.000 0.000 Te
0.000 0.500 0.000 Te

---

Which of these has the highest calculated volume?
AcTbPm3Dy

---

Among the records above, which one has the lowest calculated volume?
VCuNi

---

Please write out number 1 again, unchanged.
VCuNi | the Alexandria database | PBE | optimized geometry; energy above the most stable polymorph in this dataset = 0 meV per atom; calculated volume = 35.8 Å³ per cell; formation energy = -0.027 eV/atom; density of states at the Fermi level = 2.91 states/eV/f.u.; DFT total energy = -6.359 eV/atom
1.0
-2.210 -1.067 0.233
1.604 -2.762 2.567
-1.537 3.505 1.462
V Cu Ni
1 1 1
Direct
0.997 0.000 0.000 V
0.489 0.667 0.333 Cu
0.514 0.333 0.667 Ni